--- P ---
A plane-wave DFT calculation with PBE was carried out for SrHfPd3 after structural relaxation.

Calculated values
calculated volume = 25.3 Å³/atom
mass density = 7.7 g/cm3

Cell: 5.017 5.017 5.017 Å, 90.00 90.00 90.00°
Fractional coordinates of all 5 atoms:
Sr1 0.000 0.000 0.000
Hf1 0.500 0.500 0.500
Pd1 0.000 0.000 0.500
Pd2 0.000 0.500 0.000
Pd3 0.500 0.000 0.000



--- Q ---
A plane-wave DFT calculation with PBE was carried out for SrHfPd3 after structural relaxation.

Calculated values
calculated volume = 25.2 Å³/atom
mass density = 7.7 g/cm3

Cell: 5.014 5.014 5.014 Å, 90.00 90.00 90.00°
Fractional coordinates of all 5 atoms:
Sr1 0.000 0.000 0.000
Hf1 0.500 0.500 0.500
Pd1 0.000 0.500 0.500
Pd2 0.500 0.000 0.500
Pd3 0.500 0.500 0.000



Stability order, top to bottom: Q, P